Below is CrFeTc2 after structural relaxation, with properties calculated at the GGA-PBE level.

POSCAR file:
```
CrFeTc2
1.0
4.038 0.000 0.000
0.000 2.657 0.006
0.000 1.207 4.803
Cr Fe Tc
1 1 2
Cartesian
0.000 2.336 2.440 Cr
2.019 2.432 3.568 Fe
2.019 1.117 1.307 Tc
0.000 3.777 4.709 Tc
```

total moment	0.0	μB/f.u.
symmetry	Pm
ΔE_f	114	meV/atom
ρ	9.79	Mg/m³
E	-0.3524	hartree per atom

---

Below is CrFeTc2 after structural relaxation, with properties calculated at the GGA-PBE level.

POSCAR file:
```
CrFeTc2
1.0
8.682 0.013 0.008
8.267 2.650 0.008
8.267 1.299 2.310
Tc Cr Fe
2 1 1
Cartesian
0.065 0.010 0.006 Tc
6.261 0.984 0.577 Tc
12.493 1.963 1.152 Cr
19.005 2.986 1.753 Fe
```

total moment	1.0	μB/f.u.
symmetry	R3m
ΔE_f	192	meV/atom
ρ	9.57	Mg/m³
E	-0.3496	hartree per atom